# BeAgP2O

A geometry-optimized BeAgP2O structure (PBE-GGA, the Alexandria database).

Lattice parameters (Å, degrees): 4.868 4.868 3.865 90.00 90.00 90.00
Sites, in units of the cell vectors:
Be (0.000, 0.000, 0.000)
Ag (0.500, 0.500, 0.500)
P (0.000, 0.500, 0.500)
P (0.500, 0.000, 0.500)
O (0.500, 0.500, 0.000)

Energy above the lowest structure with this stoichiometry (meV per atom): 1326
Theoretical density (g cm⁻³): 3.53
Energy (eV/atom): -3.199
Energy relative to the elements, uncorrected (meV per atom): 1272
Size of the total moment (μB per cell): 0.068

---

# BeAgPO4

A geometry-optimized BeAgPO4 structure (PBE-GGA, the Alexandria database).

Lattice parameters (Å, degrees): 8.332 7.989 16.798 90.00 119.48 90.00
Sites, in units of the cell vectors:
Be (0.014, 0.173, 0.419)
Be (0.014, 0.327, 0.919)
Be (0.320, 0.174, 0.242)
Be (0.320, 0.326, 0.742)
Be (0.343, 0.671, 0.409)
Be (0.343, 0.829, 0.909)
Be (0.657, 0.171, 0.091)
Be (0.657, 0.329, 0.591)
Be (0.680, 0.674, 0.258)
Be (0.680, 0.826, 0.758)
Be (0.986, 0.673, 0.081)
Be (0.986, 0.827, 0.581)
Ag (0.002, 0.507, 0.252)
Ag (0.002, 0.993, 0.752)
Ag (0.277, 0.014, 0.064)
Ag (0.277, 0.486, 0.564)
Ag (0.365, 0.018, 0.585)
Ag (0.365, 0.482, 0.085)
Ag (0.635, 0.518, 0.915)
Ag (0.635, 0.982, 0.415)
Ag (0.723, 0.514, 0.436)
Ag (0.723, 0.986, 0.936)
Ag (0.998, 0.007, 0.248)
Ag (0.998, 0.493, 0.748)
P (0.022, 0.704, 0.918)
P (0.022, 0.796, 0.418)
P (0.321, 0.708, 0.738)
P (0.321, 0.792, 0.238)
P (0.340, 0.206, 0.910)
P (0.340, 0.294, 0.410)
P (0.660, 0.706, 0.590)
P (0.660, 0.794, 0.090)
P (0.679, 0.208, 0.762)
P (0.679, 0.292, 0.262)
P (0.978, 0.204, 0.582)
P (0.978, 0.296, 0.082)
O (0.061, 0.248, 0.520)
O (0.061, 0.252, 0.020)
O (0.091, 0.520, 0.933)
O (0.091, 0.980, 0.433)
O (0.123, 0.227, 0.684)
O (0.123, 0.273, 0.184)
O (0.133, 0.219, 0.882)
O (0.133, 0.281, 0.382)
O (0.190, 0.679, 0.443)
O (0.190, 0.821, 0.943)
O (0.206, 0.678, 0.154)
O (0.206, 0.822, 0.654)
O (0.260, 0.732, 0.811)
O (0.260, 0.768, 0.311)
O (0.280, 0.523, 0.705)
O (0.280, 0.977, 0.205)
O (0.383, 0.024, 0.894)
O (0.383, 0.175, 0.351)
O (0.383, 0.325, 0.851)
O (0.383, 0.476, 0.394)
O (0.461, 0.245, 0.513)
O (0.461, 0.255, 0.013)
O (0.472, 0.246, 0.719)
O (0.472, 0.254, 0.219)
O (0.528, 0.746, 0.781)
O (0.528, 0.754, 0.281)
O (0.539, 0.745, 0.987)
O (0.539, 0.755, 0.487)
O (0.617, 0.524, 0.606)
O (0.617, 0.675, 0.149)
O (0.617, 0.825, 0.649)
O (0.617, 0.976, 0.106)
O (0.720, 0.023, 0.795)
O (0.720, 0.477, 0.295)
O (0.740, 0.232, 0.689)
O (0.740, 0.268, 0.189)
O (0.794, 0.178, 0.346)
O (0.794, 0.322, 0.846)
O (0.810, 0.179, 0.057)
O (0.810, 0.321, 0.557)
O (0.867, 0.719, 0.618)
O (0.867, 0.781, 0.118)
O (0.877, 0.727, 0.816)
O (0.877, 0.773, 0.316)
O (0.909, 0.020, 0.567)
O (0.909, 0.480, 0.067)
O (0.939, 0.748, 0.980)
O (0.939, 0.752, 0.480)

Energy above the lowest structure with this stoichiometry (meV per atom): 0
Theoretical density (g cm⁻³): 4.34
Energy (eV/atom): -6.525
Energy relative to the elements, uncorrected (meV per atom): -1979
Size of the total moment (μB per cell): 0.001

---

# BeAgP2O

A geometry-optimized BeAgP2O structure (PBE-GGA, the Alexandria database).

Lattice parameters (Å, degrees): 3.984 3.984 4.702 90.00 90.00 90.00
Sites, in units of the cell vectors:
Be (0.000, 0.000, 0.000)
Ag (0.500, 0.500, 0.000)
P (0.000, 0.500, 0.500)
P (0.500, 0.000, 0.500)
O (0.500, 0.500, 0.500)

Energy above the lowest structure with this stoichiometry (meV per atom): 790
Theoretical density (g cm⁻³): 4.34
Energy (eV/atom): -3.735
Energy relative to the elements, uncorrected (meV per atom): 736
Size of the total moment (μB per cell): 0.000

---

# BeAgP2O

A geometry-optimized BeAgP2O structure (PBE-GGA, the Alexandria database).

Lattice parameters (Å, degrees): 4.987 4.987 2.893 90.00 90.00 90.00
Sites, in units of the cell vectors:
Be (0.000, 0.000, 0.000)
Ag (0.500, 0.500, 0.500)
P (0.000, 0.500, 0.000)
P (0.500, 0.000, 0.000)
O (0.000, 0.000, 0.500)

Energy above the lowest structure with this stoichiometry (meV per atom): 0
Theoretical density (g cm⁻³): 4.50
Energy (eV/atom): -4.524
Energy relative to the elements, uncorrected (meV per atom): -53
Size of the total moment (μB per cell): 0.000

---

Result set for DOS(E_F): 4.47, 0.00, 2.12, 1.83 states/eV per cell, one per record in the order listed.